Compound: ScCu2Ru
Source: the Alexandria database
Functional: PBE
Structure: optimized geometry Values from VASP.

Computed properties:
* energy: -6.1516 eV per atom
* E above lowest polymorph: 0.00 eV per formula unit
* formation energy: -0.81 eV/f.u.
* crystal system: tetragonal

The structure in Quantum ESPRESSO input format:
```
&SYSTEM
  ibrav = 0, nat = 4, ntyp = 3
/
ATOMIC_SPECIES
Sc 44.96 Sc.upf
Cu 63.55 Cu.upf
Ru 101.07 Ru.upf
CELL_PARAMETERS angstrom
3.7897 0.0000 0.0000
0.0000 3.7897 0.0000
0.0000 0.0000 4.0042
ATOMIC_POSITIONS crystal
Sc 0.0000 0.0000 0.0000
Cu 0.0000 0.5000 0.5000
Cu 0.5000 0.0000 0.5000
Ru 0.5000 0.5000 0.0000
```